1.
Material: Pm2YBi
Method: DFT, PBE
State: relaxed

Unit cell a=11.9229 b=11.9229 c=4.6571 alpha=90.00 beta=90.00 gamma=157.42
With the nearest neighbours (Å) after each atom.
Sites, in units of the cell vectors:
Pm  0.0609  0.9391  0.7500  6 Pm 3.30-3.68, 2 Bi 3.49
Pm  0.4349  0.5651  0.7500  4 Pm 3.30, 2 Bi 3.42
Pm  0.5651  0.4349  0.2500  4 Pm 3.30, 2 Bi 3.42
Pm  0.9391  0.0609  0.2500  6 Pm 3.30-3.68, 2 Bi 3.49
Y  0.3071  0.6929  0.2500  5 Bi 3.16-3.33
Y  0.6929  0.3071  0.7500  5 Bi 3.16-3.33
Bi  0.1720  0.8280  0.2500  5 Y 3.16-3.33, 4 Pm 3.42-3.49
Bi  0.8280  0.1720  0.7500  5 Y 3.16-3.33, 4 Pm 3.42-3.49

* total magnetization: 0.000 μB per atom
* Fermi-level density of states: 4.2 states/eV/f.u.
* ΔE to the lowest computed polymorph: 0.0 kJ/mol of atoms



2.
Material: Pm4YBi3
Method: DFT, PBE
State: relaxed

Unit cell a=6.4830 b=6.4830 c=10.2338 alpha=113.05 beta=113.05 gamma=41.75
With the nearest neighbours (Å) after each atom.
Sites, in units of the cell vectors:
Pm  0.1290  0.1290  0.4038  4 Bi 3.17-3.30
Pm  0.3500  0.3500  0.1559  4 Bi 3.22-3.53
Pm  0.6500  0.6500  0.8441  4 Bi 3.22-3.53
Pm  0.8710  0.8710  0.5962  4 Bi 3.17-3.30
Y  0.0000  0.0000  0.0000  4 Bi 3.19
Bi  0.3300  0.3300  0.8018  2 Y 3.19, 5 Pm 3.30-3.53
Bi  0.5000  0.5000  0.5000  6 Pm 3.17-3.22
Bi  0.6700  0.6700  0.1982  2 Y 3.19, 5 Pm 3.30-3.53

* total magnetization: 0.000 μB per atom
* Fermi-level density of states: 8.0 states/eV/f.u.



3.
Material: PmYBi2
Method: DFT, PBE
State: relaxed

Unit cell a=8.1186 b=8.1186 c=8.1186 alpha=32.19 beta=32.19 gamma=32.19
With the nearest neighbours (Å) after each atom.
Sites, in units of the cell vectors:
Pm  0.0000  0.0000  0.0000  6 Bi 3.21-3.27
Y  0.8291  0.8291  0.8291  6 Bi 3.20-3.25
Bi  0.4149  0.4149  0.4149  3 Y 3.20, 3 Pm 3.21
Bi  0.5806  0.5806  0.5806  3 Y 3.25, 3 Pm 3.27

* total magnetization: 0.000 μB per atom
* Fermi-level density of states: 0.5 states/eV/f.u.
* ΔE to the lowest computed polymorph: 10.6 kJ/mol of atoms



4.
Material: PmY5Bi4
Method: DFT, PBE
State: relaxed

Unit cell a=9.8180 b=9.8180 c=8.5693 alpha=106.42 beta=106.42 gamma=26.14
With the nearest neighbours (Å) after each atom.
Sites, in units of the cell vectors:
Pm  0.0000  0.0000  0.0000  6 Bi 3.14-3.16
Y  0.0000  0.0000  0.5000  4 Bi 3.05
Y  0.3176  0.3176  0.6489  3 Bi 3.12-3.15
Y  0.3399  0.3399  0.1855  4 Bi 3.07-3.17
Y  0.6601  0.6601  0.8145  4 Bi 3.07-3.17
Y  0.6824  0.6824  0.3511  3 Bi 3.12-3.15
Bi  0.1720  0.1720  0.0849  5 Y 3.07-3.17, 1 Pm 3.16
Bi  0.4874  0.4874  0.7340  4 Y 3.05-3.17, 2 Pm 3.14
Bi  0.5126  0.5126  0.2660  4 Y 3.05-3.17, 2 Pm 3.14
Bi  0.8280  0.8280  0.9151  5 Y 3.07-3.17, 1 Pm 3.16

* total magnetization: 0.000 μB per atom
* Fermi-level density of states: 6.5 states/eV/f.u.



5.
Material: PmYBi2
Method: DFT, PBE
State: relaxed

Unit cell a=5.4781 b=5.4781 c=4.0482 alpha=90.00 beta=90.00 gamma=90.00
With the nearest neighbours (Å) after each atom.
Sites, in units of the cell vectors:
Pm  0.0000  0.0000  0.0000  8 Bi 3.41
Y  0.5000  0.5000  0.0000  8 Bi 3.41
Bi  0.0000  0.5000  0.5000  4 Pm 3.41, 4 Y 3.41
Bi  0.5000  0.0000  0.5000  4 Pm 3.41, 4 Y 3.41

* total magnetization: 0.032 μB per atom
* Fermi-level density of states: 4.3 states/eV/f.u.
* ΔE to the lowest computed polymorph: 25.6 kJ/mol of atoms



6.
Material: Pm5Y3Bi8
Method: DFT, PBE
State: relaxed

Unit cell a=9.0876 b=9.0876 c=9.0876 alpha=60.03 beta=60.03 gamma=60.03
With the nearest neighbours (Å) after each atom.
Sites, in units of the cell vectors:
Pm  0.0000  0.0000  0.0000  6 Bi 3.21
Pm  0.0000  0.5000  0.5000  6 Bi 3.24
Pm  0.5000  0.0000  0.5000  6 Bi 3.24
Pm  0.5000  0.5000  0.0000  6 Bi 3.24
Pm  0.5000  0.5000  0.5000  6 Bi 3.21
Y  0.0000  0.0000  0.5000  6 Bi 3.19
Y  0.0000  0.5000  0.0000  6 Bi 3.19
Y  0.5000  0.0000  0.0000  6 Bi 3.19
Bi  0.2459  0.7500  0.7500  2 Y 3.19, 4 Pm 3.21-3.24
Bi  0.2480  0.2480  0.2480  3 Y 3.19, 3 Pm 3.24
Bi  0.2500  0.2500  0.7541  2 Y 3.19, 4 Pm 3.21-3.24
Bi  0.2500  0.7541  0.2500  2 Y 3.19, 4 Pm 3.21-3.24
Bi  0.7500  0.2459  0.7500  2 Y 3.19, 4 Pm 3.21-3.24
Bi  0.7500  0.7500  0.2459  2 Y 3.19, 4 Pm 3.21-3.24
Bi  0.7520  0.7520  0.7520  3 Y 3.19, 3 Pm 3.24
Bi  0.7541  0.2500  0.2500  2 Y 3.19, 4 Pm 3.21-3.24

* total magnetization: 0.000 μB per atom
* Fermi-level density of states: 2.7 states/eV/f.u.



7.
Material: PmY2Bi3
Method: DFT, PBE
State: relaxed

Unit cell a=7.8208 b=7.8208 c=7.8208 alpha=146.44 beta=131.80 gamma=60.01
With the nearest neighbours (Å) after each atom.
Sites, in units of the cell vectors:
Pm  0.0000  0.0000  0.0000  6 Bi 3.19-3.23
Y  0.3344  0.3344  0.0000  6 Bi 3.17-3.19
Y  0.6656  0.6656  0.0000  6 Bi 3.17-3.19
Bi  0.1701  0.6701  0.5000  4 Y 3.17-3.19, 2 Pm 3.23
Bi  0.5000  0.0000  0.5000  4 Y 3.18, 2 Pm 3.19
Bi  0.8299  0.3299  0.5000  4 Y 3.17-3.19, 2 Pm 3.23

* total magnetization: 0.000 μB per atom
* Fermi-level density of states: 1.2 states/eV/f.u.



8.
Material: PmY2Bi2
Method: DFT, PBE
State: relaxed

Unit cell a=4.8360 b=4.8360 c=7.4988 alpha=102.31 beta=102.31 gamma=80.55
With the nearest neighbours (Å) after each atom.
Sites, in units of the cell vectors:
Pm  0.0000  0.0000  0.0000  6 Bi 3.27-3.56
Y  0.2501  0.7499  0.5000  2 Y 3.13, 4 Bi 3.19
Y  0.7499  0.2501  0.5000  2 Y 3.13, 4 Bi 3.19
Bi  0.3328  0.3328  0.7892  4 Y 3.19, 3 Pm 3.27-3.56, 1 Bi 3.42
Bi  0.6672  0.6672  0.2108  4 Y 3.19, 3 Pm 3.27-3.56, 1 Bi 3.42

* total magnetization: 0.000 μB per atom
* Fermi-level density of states: 4.4 states/eV/f.u.



9.
Material: Pm3YBi3
Method: DFT, PBE
State: relaxed

Unit cell a=9.5777 b=9.5777 c=9.5777 alpha=90.00 beta=90.00 gamma=90.00
With the nearest neighbours (Å) after each atom.
Sites, in units of the cell vectors:
Pm  0.0687  0.4313  0.5687  6 Bi 3.22-3.43
Pm  0.1766  0.8234  0.3234  6 Bi 3.21-3.44
Pm  0.1781  0.1781  0.1781  6 Bi 3.20-3.46
Pm  0.3219  0.8219  0.6781  6 Bi 3.20-3.46
Pm  0.3234  0.1766  0.8234  6 Bi 3.21-3.44
Pm  0.4313  0.5687  0.0687  6 Bi 3.22-3.43
Pm  0.5687  0.0687  0.4313  6 Bi 3.22-3.43
Pm  0.6766  0.6766  0.6766  6 Bi 3.21-3.44
Pm  0.6781  0.3219  0.8219  6 Bi 3.20-3.46
Pm  0.8219  0.6781  0.3219  6 Bi 3.20-3.46
Pm  0.8234  0.3234  0.1766  6 Bi 3.21-3.44
Pm  0.9313  0.9313  0.9313  6 Bi 3.22-3.43
Y  0.0733  0.5733  0.9267  6 Bi 3.17-3.43
Y  0.4267  0.4267  0.4267  6 Bi 3.17-3.43
Y  0.5733  0.9267  0.0733  6 Bi 3.17-3.43
Y  0.9267  0.0733  0.5733  6 Bi 3.17-3.43
Bi  0.0014  0.2544  0.8727  2 Y 3.17-3.43, 6 Pm 3.20-3.46
Bi  0.1273  0.5014  0.2456  2 Y 3.17-3.43, 6 Pm 3.20-3.46
Bi  0.2456  0.1273  0.5014  2 Y 3.17-3.43, 6 Pm 3.20-3.46
Bi  0.2544  0.8727  0.0014  2 Y 3.17-3.43, 6 Pm 3.20-3.46
Bi  0.3727  0.4986  0.7456  2 Y 3.17-3.43, 6 Pm 3.20-3.46
Bi  0.4986  0.7456  0.3727  2 Y 3.17-3.43, 6 Pm 3.20-3.46
Bi  0.5014  0.2456  0.1273  2 Y 3.17-3.43, 6 Pm 3.20-3.46
Bi  0.6273  0.9986  0.7544  2 Y 3.17-3.43, 6 Pm 3.20-3.46
Bi  0.7456  0.3727  0.4986  2 Y 3.17-3.43, 6 Pm 3.20-3.46
Bi  0.7544  0.6273  0.9986  2 Y 3.17-3.43, 6 Pm 3.20-3.46
Bi  0.8727  0.0014  0.2544  2 Y 3.17-3.43, 6 Pm 3.20-3.46
Bi  0.9986  0.7544  0.6273  2 Y 3.17-3.43, 6 Pm 3.20-3.46

* total magnetization: 0.000 μB per atom
* Fermi-level density of states: 8.1 states/eV/f.u.
* ΔE to the lowest computed polymorph: 0.0 kJ/mol of atoms



10.
Material: Pm2YBi
Method: DFT, PBE
State: relaxed

Unit cell a=9.9799 b=9.9799 c=9.9799 alpha=23.90 beta=23.90 gamma=23.90
With the nearest neighbours (Å) after each atom.
Sites, in units of the cell vectors:
Pm  0.0000  0.0000  0.0000  3 Bi 3.14
Pm  0.1922  0.1922  0.1922  3 Bi 3.15
Y  0.7629  0.7629  0.7629  6 Pm 3.67-3.68
Bi  0.5963  0.5963  0.5963  6 Pm 3.14-3.15

* total magnetization: 0.220 μB per atom
* Fermi-level density of states: 5.0 states/eV/f.u.
* ΔE to the lowest computed polymorph: 22.2 kJ/mol of atoms



11.
Material: PmYBi2
Method: DFT, PBE
State: relaxed

Unit cell a=4.5343 b=4.5343 c=7.8421 alpha=106.87 beta=106.87 gamma=60.07
With the nearest neighbours (Å) after each atom.
Sites, in units of the cell vectors:
Pm  0.0000  0.0000  0.0000  6 Bi 3.23
Y  0.5000  0.5000  0.5000  6 Bi 3.18
Bi  0.2480  0.2480  0.7438  3 Y 3.18, 3 Pm 3.23
Bi  0.7520  0.7520  0.2562  3 Y 3.18, 3 Pm 3.23

* total magnetization: 0.000 μB per atom
* Fermi-level density of states: 0.7 states/eV/f.u.
* ΔE to the lowest computed polymorph: 0.0 kJ/mol of atoms



12.
Material: Pm3YBi2
Method: DFT, PBE
State: relaxed

Unit cell a=9.2038 b=9.2038 c=9.2038 alpha=134.23 beta=71.46 gamma=128.35
With the nearest neighbours (Å) after each atom.
Sites, in units of the cell vectors:
Pm  0.0472  0.7500  0.2972  4 Bi 3.22-3.24
Pm  0.2500  0.2500  0.0000  4 Bi 3.21
Pm  0.4528  0.7500  0.7028  4 Bi 3.22-3.24
Pm  0.5472  0.2500  0.2972  4 Bi 3.22-3.24
Pm  0.7500  0.7500  0.0000  4 Bi 3.21
Pm  0.9528  0.2500  0.7028  4 Bi 3.22-3.24
Y  0.0000  0.5000  0.5000  2 Bi 3.24
Y  0.5000  0.0000  0.5000  2 Bi 3.24
Bi  0.1470  0.1674  0.3144  6 Pm 3.21-3.24, 1 Y 3.24
Bi  0.3530  0.6674  0.0204  6 Pm 3.21-3.24, 1 Y 3.24
Bi  0.6470  0.3326  0.9796  6 Pm 3.21-3.24, 1 Y 3.24
Bi  0.8530  0.8326  0.6856  6 Pm 3.21-3.24, 1 Y 3.24

* total magnetization: 0.119 μB per atom
* Fermi-level density of states: 7.8 states/eV/f.u.
* ΔE to the lowest computed polymorph: 23.2 kJ/mol of atoms



13.
Material: Pm4YBi5
Method: DFT, PBE
State: relaxed

Unit cell a=16.4354 b=16.4354 c=16.4354 alpha=164.04 beta=164.04 gamma=22.64
With the nearest neighbours (Å) after each atom.
Sites, in units of the cell vectors:
Pm  0.0997  0.0997  0.0000  6 Bi 3.21-3.23
Pm  0.3006  0.3006  0.0000  6 Bi 3.23-3.24
Pm  0.6994  0.6994  0.0000  6 Bi 3.23-3.24
Pm  0.9003  0.9003  0.0000  6 Bi 3.21-3.23
Y  0.5000  0.5000  0.0000  6 Bi 3.18-3.23
Bi  0.0000  0.0000  0.0000  2 Pm 3.21, 4 Y 3.23
Bi  0.2000  0.2000  0.0000  6 Pm 3.23-3.24
Bi  0.4012  0.4012  0.0000  1 Y 3.18, 5 Pm 3.23-3.24
Bi  0.5988  0.5988  0.0000  1 Y 3.18, 5 Pm 3.23-3.24
Bi  0.8000  0.8000  0.0000  6 Pm 3.23-3.24

* total magnetization: 0.000 μB per atom
* Fermi-level density of states: 1.2 states/eV/f.u.



14.
Material: Pm2YBi
Method: DFT, PBE
State: relaxed

Unit cell a=4.3156 b=4.3156 c=6.8220 alpha=90.00 beta=90.00 gamma=90.00
With the nearest neighbours (Å) after each atom.
Sites, in units of the cell vectors:
Pm  0.0000  0.0000  0.2374  2 Pm 3.24-3.58, 4 Bi 3.45, 4 Y 3.54
Pm  0.0000  0.0000  0.7626  2 Pm 3.24-3.58, 4 Bi 3.45, 4 Y 3.54
Y  0.5000  0.5000  0.5000  2 Bi 3.41, 8 Pm 3.54
Bi  0.5000  0.5000  0.0000  2 Y 3.41, 8 Pm 3.45

* total magnetization: 0.000 μB per atom
* Fermi-level density of states: 4.3 states/eV/f.u.
* ΔE to the lowest computed polymorph: 3.0 kJ/mol of atoms



15.
Material: Pm3Y4Bi8
Method: DFT, PBE
State: relaxed

Unit cell a=9.0192 b=9.0192 c=8.9850 alpha=119.85 beta=119.85 gamma=90.04
With the nearest neighbours (Å) after each atom.
Sites, in units of the cell vectors:
Pm  0.0000  0.0000  0.0000  6 Bi 3.22
Pm  0.0000  0.5000  0.0000  6 Bi 3.19
Pm  0.5000  0.0000  0.0000  6 Bi 3.19
Y  0.0000  0.5000  0.5000  6 Bi 3.19
Y  0.5000  0.0000  0.5000  6 Bi 3.19
Y  0.5000  0.5000  0.0000  6 Bi 3.16
Y  0.5000  0.5000  0.5000  6 Bi 3.22-3.23
Bi  0.2471  0.7529  0.5000  3 Y 3.19-3.23, 2 Pm 3.19
Bi  0.2492  0.2492  0.5049  4 Y 3.16-3.23, 1 Pm 3.22
Bi  0.2499  0.2499  0.9948  2 Y 3.16-3.22, 3 Pm 3.19-3.22
Bi  0.2520  0.7480  0.0000  3 Y 3.16-3.19, 3 Pm 3.19-3.22
Bi  0.7480  0.2520  0.0000  3 Y 3.16-3.19, 3 Pm 3.19-3.22
Bi  0.7501  0.7501  0.0052  2 Y 3.16-3.22, 3 Pm 3.19-3.22
Bi  0.7508  0.7508  0.4951  4 Y 3.16-3.23, 1 Pm 3.22
Bi  0.7529  0.2471  0.5000  3 Y 3.19-3.23, 2 Pm 3.19

* total magnetization: 0.000 μB per atom
* Fermi-level density of states: 9.0 states/eV/f.u.



16.
Material: PmYBi
Method: DFT, PBE
State: relaxed

Unit cell a=5.5973 b=5.5973 c=8.3458 alpha=109.66 beta=109.66 gamma=60.06
With the nearest neighbours (Å) after each atom.
Sites, in units of the cell vectors:
Pm  0.1479  0.1479  0.4431  1 Bi 3.08, 3 Pm 3.35
Pm  0.8521  0.8521  0.5569  1 Bi 3.08, 3 Pm 3.35
Y  0.4214  0.4214  0.2639  4 Bi 3.23-3.34, 3 Pm 3.51
Y  0.5786  0.5786  0.7361  4 Bi 3.23-3.34, 3 Pm 3.51
Bi  0.2811  0.2811  0.8438  1 Pm 3.08, 4 Y 3.23-3.34
Bi  0.7189  0.7189  0.1562  1 Pm 3.08, 4 Y 3.23-3.34

* total magnetization: 0.000 μB per atom
* Fermi-level density of states: 2.8 states/eV/f.u.
* ΔE to the lowest computed polymorph: 32.3 kJ/mol of atoms



17.
Material: Pm2YBi
Method: DFT, PBE
State: relaxed

Unit cell a=4.9006 b=4.9006 c=5.0249 alpha=90.00 beta=90.00 gamma=90.00
With the nearest neighbours (Å) after each atom.
Sites, in units of the cell vectors:
Pm  0.0000  0.5000  0.0000  4 Pm 3.47, 4 Bi 3.51, 4 Y 3.51
Pm  0.5000  0.0000  0.0000  4 Pm 3.47, 4 Bi 3.51, 4 Y 3.51
Y  0.0000  0.0000  0.5000  4 Bi 3.47, 8 Pm 3.51
Bi  0.5000  0.5000  0.5000  4 Y 3.47, 8 Pm 3.51

* total magnetization: 0.000 μB per atom
* Fermi-level density of states: 4.0 states/eV/f.u.
* ΔE to the lowest computed polymorph: 2.9 kJ/mol of atoms



18.
Material: Pm3YBi3
Method: DFT, PBE
State: relaxed

Unit cell a=8.3548 b=8.3548 c=8.3548 alpha=67.61 beta=67.61 gamma=67.61
With the nearest neighbours (Å) after each atom.
Sites, in units of the cell vectors:
Pm  0.0875  0.3419  0.8236  5 Bi 3.19-3.41
Pm  0.1764  0.9125  0.6581  5 Bi 3.19-3.41
Pm  0.3419  0.8236  0.0875  5 Bi 3.19-3.41
Pm  0.6581  0.1764  0.9125  5 Bi 3.19-3.41
Pm  0.8236  0.0875  0.3419  5 Bi 3.19-3.41
Pm  0.9125  0.6581  0.1764  5 Bi 3.19-3.41
Y  0.3328  0.3328  0.3328  6 Bi 3.25-3.29
Y  0.6672  0.6672  0.6672  6 Bi 3.25-3.29
Bi  0.0785  0.6927  0.4734  5 Pm 3.19-3.41, 2 Y 3.25-3.29
Bi  0.3073  0.5266  0.9215  5 Pm 3.19-3.41, 2 Y 3.25-3.29
Bi  0.4734  0.0785  0.6927  5 Pm 3.19-3.41, 2 Y 3.25-3.29
Bi  0.5266  0.9215  0.3073  5 Pm 3.19-3.41, 2 Y 3.25-3.29
Bi  0.6927  0.4734  0.0785  5 Pm 3.19-3.41, 2 Y 3.25-3.29
Bi  0.9215  0.3073  0.5266  5 Pm 3.19-3.41, 2 Y 3.25-3.29

* total magnetization: 0.000 μB per atom
* Fermi-level density of states: 5.2 states/eV/f.u.
* ΔE to the lowest computed polymorph: 8.4 kJ/mol of atoms



19.
Material: Pm6ZnBi2
Method: DFT, PBE
State: relaxed

Unit cell a=8.6621 b=8.6621 c=4.3314 alpha=90.00 beta=90.00 gamma=120.00
With the nearest neighbours (Å) after each atom.
Sites, in units of the cell vectors:
Pm  0.0000  0.4089  0.0000  4 Bi 3.40, 1 Zn 3.54, 6 Pm 3.71-3.77
Pm  0.0000  0.7573  0.5000  2 Zn 3.02, 2 Bi 3.35
Pm  0.2427  0.2427  0.5000  2 Zn 3.02, 2 Bi 3.35
Pm  0.4089  0.0000  0.0000  4 Bi 3.40, 1 Zn 3.54, 6 Pm 3.71-3.77
Pm  0.5911  0.5911  0.0000  4 Bi 3.40, 1 Zn 3.54, 6 Pm 3.71-3.77
Pm  0.7573  0.0000  0.5000  2 Zn 3.02, 2 Bi 3.35
Zn  0.0000  0.0000  0.0000  6 Pm 3.02
Bi  0.3333  0.6667  0.5000  9 Pm 3.35-3.40
Bi  0.6667  0.3333  0.5000  9 Pm 3.35-3.40

* total magnetization: 0.502 μB per atom
* Fermi-level density of states: 11.4 states/eV/f.u.



20.
Material: PmZnBi2
Method: DFT, PBE
State: relaxed

Unit cell a=9.3225 b=9.3225 c=9.3225 alpha=28.36 beta=28.36 gamma=28.36
With the nearest neighbours (Å) after each atom.
Sites, in units of the cell vectors:
Pm  0.0000  0.0000  0.0000  6 Bi 3.23
Zn  0.5000  0.5000  0.5000  2 Bi 2.61
Bi  0.4026  0.4026  0.4026  1 Zn 2.61
Bi  0.5974  0.5974  0.5974  1 Zn 2.61

* total magnetization: 0.000 μB per atom
* Fermi-level density of states: 1.2 states/eV/f.u.
* ΔE to the lowest computed polymorph: 36.6 kJ/mol of atoms



What did we get for formation enthalpy at 0 K? Answer: -0.428; -0.661; -0.808; -0.522; -0.653; -0.922; -0.909; -0.468; -0.808; -0.197; -0.918; -0.411; -0.931; -0.396; -0.714; -0.328; -0.397; -0.721; -0.474; -0.033 eV per atom, in the order shown.